No. 1
5
Lattice="4.857 0.000 0.000 0.000 4.857 0.000 0.000 0.000 4.857" Properties=species:S:1:pos:R:3 comment="SCAN Li3ScSi, PBEsol geometry" formation_energy_uncorrected_ev_per_atom=1.283 density_g_cm3=1.36 pbc="T T T"
Li 0.000 0.000 2.428
Li 0.000 2.428 0.000
Li 2.428 0.000 0.000
Sc 0.000 0.000 0.000
Si 2.428 2.428 2.428

No. 2
5
Lattice="4.542 0.000 0.000 0.000 4.542 0.000 0.000 0.000 4.542" Properties=species:S:1:pos:R:3 comment="SCAN Li3ScSi, PBEsol geometry" formation_energy_uncorrected_ev_per_atom=0.219 density_g_cm3=1.66 pbc="T T T"
Li 0.000 0.000 2.271
Li 0.000 2.271 0.000
Li 2.271 0.000 0.000
Sc 2.271 2.271 2.271
Si 0.000 0.000 0.000

no.,magnetic moment (μB/f.u.),energy above the most stable polymorph in this dataset (meV per atom),electronic total energy (eV per atom)
1,1.50,1064,-5.002
2,0.74,0,-6.065